LiTh4 | PBE | optimized geometry

Cell lengths 5.332, 5.332, 5.332 Å; angles 90.00, 90.00, 90.00 degrees
Element x y z (fractional)
1 Th 0.000 0.500 0.500
2 Th 0.500 0.500 0.000
3 Th 0.000 0.000 0.000
4 Th 0.500 0.000 0.500
5 Li 0.500 0.500 0.500

Calculated volume   151.6 Å³ per cell
D(E_F)   9.71 states/eV/cell
VASP energy   -5.767 eV/atom
Mass density   10.2 g cm⁻³

SrPa2CrN5 | PBE | optimized geometry

Cell lengths 6.652, 6.652, 7.320 Å; angles 117.03, 117.03, 90.00 degrees
Each line ends with the local moment (μB).
Element x y z (fractional)
1 Pa 0.681 0.181 0.000  0.35
2 Cr 0.750 0.250 0.500  1.45
3 Pa 0.181 0.319 0.000  0.35
4 Sr 0.250 0.250 0.500  0.01
5 N 0.506 0.724 0.730  -0.04
6 N 0.494 0.276 0.270  -0.04
7 Pa 0.819 0.681 0.000  0.35
8 N 0.000 0.000 0.000  -0.03
9 Sr 0.750 0.750 0.500  0.01
10 Pa 0.319 0.819 0.000  0.35
11 N 0.776 0.994 0.270  -0.04
12 N 0.006 0.506 0.730  -0.04
13 N 0.724 0.224 0.730  -0.04
14 N 0.994 0.494 0.270  -0.04
15 N 0.276 0.776 0.270  -0.04
16 Cr 0.250 0.750 0.500  1.45
17 N 0.500 0.500 0.000  -0.03
18 N 0.224 0.006 0.730  -0.04

Calculated volume   248.2 Å³ per cell
D(E_F)   9.76 states/eV/cell
Mass density   9.0 g cm⁻³
Formation energy without anion corrections   -1.2544 eV per atom

BeCu3Tc | PBE | optimized geometry

Cell lengths 4.618, 4.618, 4.618 Å; angles 90.00, 90.00, 90.00 degrees
Each line ends with the local moment (μB).
Element x y z (fractional)
1 Cu 0.000 0.500 0.000  0.11
2 Cu 0.000 0.000 0.500  0.24
3 Cu 0.500 0.000 0.000  0.06
4 Tc 0.000 0.000 0.000  1.08
5 Be 0.500 0.500 0.500  0.04

Calculated volume   98.5 Å³ per cell
D(E_F)   4.70 states/eV/cell
Energy above the most stable polymorph in this dataset   26.38 kcal/mol of atoms
Mass density   5.0 g cm⁻³